VASP calculation (PBE) on an optimized crystal structure of AcDy3Tm.

Cell and atoms, written as POSCAR:
```
AcDy3Tm
1.0
4.869 0.001 0.000
-2.433 9.624 2.322
0.001 2.602 8.171
Ac Dy Tm
2 6 2
direct
0.406 0.847 0.294
0.637 0.308 0.128
0.107 0.247 0.487
0.465 0.964 0.626
0.579 0.191 0.796
0.937 0.907 0.935
0.295 0.623 0.036
0.749 0.531 0.385
0.211 0.455 0.722
0.833 0.699 0.700
```

Results
* spin magnetization: 0.0 μB/cell
* N(E_F): 7.74 states/eV/f.u.
* energy relative to the elements: 0.1602 eV/atom